Entry 1:
Density functional theory data (PBE) for a relaxed structure of HfHgBi2.

Computed properties:
- E: -4.5290 eV per atom
- ΔE_f: -25 meV/atom
- Crystal system: tetragonal

abc: 3.9817 3.9817 6.6153
angles: 90.00 90.00 90.00
Closest atoms and distances in Å follow each position.
Space group P4/mmm (No. 123)
One atom of each set of equivalent atoms:
Hf (0.0000, 0.0000, 0.0000) [1 per cell]  8 Bi 3.21, 2 Hg 3.31
Hg (0.0000, 0.0000, 0.5000) [1 per cell]  2 Hf 3.31, 8 Bi 3.32
Bi (0.5000, 0.5000, 0.2340) [2 per cell]  1 Bi 3.10, 4 Hf 3.21, 4 Hg 3.32

Entry 2:
Density functional theory data (PBE) for a relaxed structure of LaMnGe.

Computed properties:
- E: -6.6891 eV per atom
- ΔE_f: -451 meV/atom
- Crystal system: tetragonal

abc: 4.1077 4.1077 7.6339
angles: 90.00 90.00 90.00
Closest atoms and distances in Å follow each position.
Space group P4/nmm (No. 129, origin choice 2)
One atom of each set of equivalent atoms:
La (0.2500, 0.2500, 0.1780) [2 per cell]  4 Ge 3.08, 4 Mn 3.20
Mn (0.2500, 0.7500, 0.5000) [2 per cell]  4 Ge 2.51
Ge (0.2500, 0.2500, 0.6891) [2 per cell]  4 Mn 2.51

Entry 3:
Density functional theory data (PBE) for a relaxed structure of Ac2ErC2N6.

Computed properties:
- Energy relative to the elements, uncorrected: -0.839 eV/atom
- E: -8.2187 eV per atom
- Crystal system: monoclinic

abc: 9.6957 5.4129 6.6401
angles: 90.00 121.92 90.00
Closest atoms and distances in Å follow each position.
Space group C2/m (No. 12)
One atom of each set of equivalent atoms:
Ac (0.2149, 0.0000, 0.1986) [4 per cell]  9 N 2.75-2.85
Er (0.0000, 0.0000, 0.5000) [2 per cell]  6 N 2.31-2.32
C (0.0603, 0.5000, 0.2546) [4 per cell]  3 N 1.36-1.38
N (0.0214, 0.2815, 0.7780) [8 per cell]  1 C 1.38
N (0.2217, 0.5000, 0.3321) [4 per cell]  1 C 1.36

Repeat the second record exactly.
Density functional theory data (PBE) for a relaxed structure of LaMnGe.

Computed properties:
- E: -6.6891 eV per atom
- ΔE_f: -451 meV/atom
- Crystal system: tetragonal

abc: 4.1077 4.1077 7.6339
angles: 90.00 90.00 90.00
Closest atoms and distances in Å follow each position.
Space group P4/nmm (No. 129, origin choice 2)
One atom of each set of equivalent atoms:
La (0.2500, 0.2500, 0.1780) [2 per cell]  4 Ge 3.08, 4 Mn 3.20
Mn (0.2500, 0.7500, 0.5000) [2 per cell]  4 Ge 2.51
Ge (0.2500, 0.2500, 0.6891) [2 per cell]  4 Mn 2.51

Copy entry 3 word for word.
Density functional theory data (PBE) for a relaxed structure of Ac2ErC2N6.

Computed properties:
- Energy relative to the elements, uncorrected: -0.839 eV/atom
- E: -8.2187 eV per atom
- Crystal system: monoclinic

abc: 9.6957 5.4129 6.6401
angles: 90.00 121.92 90.00
Closest atoms and distances in Å follow each position.
Space group C2/m (No. 12)
One atom of each set of equivalent atoms:
Ac (0.2149, 0.0000, 0.1986) [4 per cell]  9 N 2.75-2.85
Er (0.0000, 0.0000, 0.5000) [2 per cell]  6 N 2.31-2.32
C (0.0603, 0.5000, 0.2546) [4 per cell]  3 N 1.36-1.38
N (0.0214, 0.2815, 0.7780) [8 per cell]  1 C 1.38
N (0.2217, 0.5000, 0.3321) [4 per cell]  1 C 1.36

- What is the E in the second record?
  -6.6891 eV per atom

- Among the records above, which one has the highest E?
  HfHgBi2